{"formula": "Mg3FeSb", "functional": "GGA-PBEsol", "state": "optimized geometry", "mass_density_g_cm3": 3.62, "magnetic_moment_mub_per_fu": 1.860, "e_form_raw_mev_per_atom": 528, "cell": [[4.863, 0.000, 0.000], [0.000, 4.863, 0.000], [0.000, 0.000, 4.863]], "species": ["Mg", "Fe", "Mg", "Sb", "Mg"], "frac_coords": [[0.500, 0.000, 0.000], [0.000, 0.000, 0.000], [0.000, 0.500, 0.000], [0.500, 0.500, 0.500], [0.000, 0.000, 0.500]]}

***

{"formula": "MnMoRu3", "functional": "GGA-PBEsol", "state": "optimized geometry", "mass_density_g_cm3": 9.60, "magnetic_moment_mub_per_fu": 1.480, "delta_e_f_ev_per_atom": 1.4729, "relative_energy_mev_per_atom": 0, "cell": [[4.282, 0.000, 0.000], [0.000, 4.282, 0.000], [0.000, 0.000, 4.282]], "species": ["Mn", "Mo", "Ru", "Ru", "Ru"], "frac_coords": [[0.000, 0.000, 0.000], [0.500, 0.500, 0.500], [0.500, 0.000, 0.000], [0.000, 0.500, 0.000], [0.000, 0.000, 0.500]]}

***

{"formula": "Ta2NiRh", "functional": "GGA-PBEsol", "state": "optimized geometry", "mass_density_g_cm3": 14.84, "magnetic_moment_mub_per_fu": 0.000, "delta_e_f_ev_per_atom": -0.3072, "cell": [[2.800, 0.030, 0.000], [-0.027, 2.800, 0.000], [0.000, 0.000, 7.467]], "species": ["Ni", "Rh", "Ta", "Ta"], "frac_coords": [[0.500, 0.500, 0.500], [0.500, 0.500, 0.000], [0.000, 0.000, 0.259], [0.000, 0.000, 0.741]]}